# GdMgTl2

A relaxed GdMgTl2 crystal (PBE, the Alexandria database).

- total magnetization (μB per cell) = 7.19
- calculated total energy (eV/cell) = -21.50
- symmetry = P4/mmm

Cell: 4.3511 4.8924 4.8924 Å, 90.00 90.00 90.00°
Site moments in Bohr magnetons follow the coordinates.
Sites, in units of the cell vectors:
Tl 0.0000 0.5000 0.0000  0.00
Tl 0.0000 0.0000 0.5000  0.00
Gd 0.5000 0.5000 0.5000  7.07
Mg 0.5000 0.0000 0.0000  0.00